[1]
Entry from the Alexandria database: PaFe2AsC after structural relaxation (PBE).

Computed properties:
As for the space group: Cmcm (63). For the total energy, the calculation gives -0.314 Ha/atom. Its crystal system is orthorhombic.

abc: 5.734 5.734 6.747
angles: 90.00 90.00 141.71
Atoms (fractional coordinates):
Pa: 0.055 0.945 0.750
Pa: 0.945 0.055 0.250
Fe: 0.338 0.662 0.551
Fe: 0.338 0.662 0.949
Fe: 0.662 0.338 0.051
Fe: 0.662 0.338 0.449
As: 0.223 0.777 0.250
As: 0.777 0.223 0.750
C: 0.500 0.500 0.000
C: 0.500 0.500 0.500


[2]
Entry from the Alexandria database: Sr2ZrIr after structural relaxation (PBE).

Computed properties:
For the excess energy over the best structure of this formula in the dataset, the calculation gives 0.7488 eV per atom. As for the space group: R-3m (166). For the total energy, the calculation gives -0.171 Ha/atom. Its crystal system is trigonal.

abc: 3.489 3.489 32.142
angles: 90.00 90.00 120.00
Atoms (fractional coordinates):
Sr: 0.000 0.000 0.236
Sr: 0.000 0.000 0.764
Sr: 0.333 0.667 0.431
Sr: 0.333 0.667 0.902
Sr: 0.667 0.333 0.098
Sr: 0.667 0.333 0.569
Zr: 0.000 0.000 0.000
Zr: 0.333 0.667 0.667
Zr: 0.667 0.333 0.333
Ir: 0.000 0.000 0.500
Ir: 0.333 0.667 0.167
Ir: 0.667 0.333 0.833


[3]
Entry from the Alexandria database: AsIrO2 after structural relaxation (PBE).

Computed properties:
As for the space group: I-42d (122). For the total energy, the calculation gives -0.215 Ha/atom. Its crystal system is tetragonal. As for the uncorrected formation energy: 0.0114 eV/atom.

abc: 3.868 3.868 13.286
angles: 90.00 90.00 90.00
Atoms (fractional coordinates):
As: 0.000 0.000 0.000
As: 0.000 0.500 0.250
As: 0.500 0.000 0.750
As: 0.500 0.500 0.500
Ir: 0.000 0.000 0.500
Ir: 0.000 0.500 0.750
Ir: 0.500 0.000 0.250
Ir: 0.500 0.500 0.000
O: 0.226 0.250 0.625
O: 0.250 0.726 0.875
O: 0.250 0.774 0.375
O: 0.274 0.250 0.125
O: 0.726 0.750 0.125
O: 0.750 0.226 0.375
O: 0.750 0.274 0.875
O: 0.774 0.750 0.625


[4]
Entry from the Alexandria database: LaMgTa2Se after structural relaxation (PBE).

Computed properties:
As for the space group: P4/mmm (123). For the total energy, the calculation gives -0.230 Ha/atom. Its crystal system is tetragonal. As for the uncorrected formation energy: 0.4872 eV/atom.

abc: 4.829 4.829 5.589
angles: 90.00 90.00 90.00
Atoms (fractional coordinates):
La: 0.000 0.000 0.000
Mg: 0.500 0.500 0.000
Ta: 0.000 0.500 0.500
Ta: 0.500 0.000 0.500
Se: 0.000 0.000 0.500


[5]
Entry from the Alexandria database: CuRuCl2 after structural relaxation (PBE).

Computed properties:
For the excess energy over the best structure of this formula in the dataset, the calculation gives 0.3242 eV per atom. As for the space group: P2/m (10). For the total energy, the calculation gives -0.144 Ha/atom. Its crystal system is monoclinic. As for the uncorrected formation energy: 0.3553 eV/atom.

abc: 3.098 3.813 5.865
angles: 90.00 100.81 90.00
Atoms (fractional coordinates):
Cu: 0.000 0.000 0.000
Ru: 0.000 0.000 0.500
Cl: 0.165 0.500 0.750
Cl: 0.835 0.500 0.250


[6]
Entry from the Alexandria database: CeTm2Si after structural relaxation (PBE).

Computed properties:
For the excess energy over the best structure of this formula in the dataset, the calculation gives 0.0000 eV per atom. As for the space group: P4/mmm (123). For the total energy, the calculation gives -0.196 Ha/atom. Its crystal system is tetragonal. As for the uncorrected formation energy: -0.2550 eV/atom.

abc: 4.636 4.636 4.441
angles: 90.00 90.00 90.00
Atoms (fractional coordinates):
Ce: 0.000 0.000 0.000
Tm: 0.000 0.500 0.500
Tm: 0.500 0.000 0.500
Si: 0.500 0.500 0.000


[7]
Entry from the Alexandria database: TbPm2Tm3S6 after structural relaxation (PBE).

Computed properties:
As for the space group: C2/m (12). For the total energy, the calculation gives -0.233 Ha/atom. Its crystal system is monoclinic. As for the uncorrected formation energy: -1.9829 eV/atom.

abc: 8.793 8.793 7.921
angles: 104.09 104.09 25.55
Atoms (fractional coordinates):
Tb: 0.000 0.000 0.000
Pm: 0.333 0.333 0.665
Pm: 0.667 0.667 0.335
Tm: 0.000 0.000 0.500
Tm: 0.332 0.332 0.167
Tm: 0.668 0.668 0.833
S: 0.162 0.162 0.594
S: 0.168 0.168 0.071
S: 0.496 0.496 0.254
S: 0.504 0.504 0.746
S: 0.832 0.832 0.929
S: 0.838 0.838 0.406


[8]
Entry from the Alexandria database: BeTcIr after structural relaxation (PBE).

Computed properties:
For the excess energy over the best structure of this formula in the dataset, the calculation gives 0.2158 eV per atom. As for the space group: Cmcm (63). For the total energy, the calculation gives -0.287 Ha/atom. Its crystal system is orthorhombic.

abc: 4.243 7.338 4.879
angles: 90.00 90.00 90.00
Atoms (fractional coordinates):
Be: 0.000 0.167 0.250
Be: 0.000 0.833 0.750
Be: 0.500 0.333 0.750
Be: 0.500 0.667 0.250
Tc: 0.000 0.500 0.000
Tc: 0.000 0.500 0.500
Tc: 0.500 0.000 0.000
Tc: 0.500 0.000 0.500
Ir: 0.000 0.166 0.750
Ir: 0.000 0.834 0.250
Ir: 0.500 0.334 0.250
Ir: 0.500 0.666 0.750


[9]
Entry from the Alexandria database: Ti2Nb2Al after structural relaxation (PBE).

Computed properties:
For the excess energy over the best structure of this formula in the dataset, the calculation gives 0.0000 eV per atom. As for the space group: C2/m (12). For the total energy, the calculation gives -0.296 Ha/atom. Its crystal system is monoclinic.

abc: 13.241 4.659 2.822
angles: 90.00 95.25 90.00
Atoms (fractional coordinates):
Ti: 0.208 0.000 0.286
Ti: 0.292 0.500 0.714
Ti: 0.708 0.500 0.286
Ti: 0.792 0.000 0.714
Nb: 0.100 0.500 0.917
Nb: 0.400 0.000 0.083
Nb: 0.600 0.000 0.917
Nb: 0.900 0.500 0.083
Al: 0.000 0.000 0.500
Al: 0.500 0.500 0.500


[10]
Entry from the Alexandria database: PmDy4Er2Tm after structural relaxation (PBE).

Computed properties:
As for the space group: C2/c (15). For the total energy, the calculation gives -0.153 Ha/atom. Its crystal system is monoclinic.

abc: 9.459 9.459 6.758
angles: 110.93 110.93 88.79
Atoms (fractional coordinates):
Pm: 0.000 0.500 0.000
Pm: 0.500 0.000 0.500
Dy: 0.247 0.252 0.497
Dy: 0.249 0.751 0.502
Dy: 0.249 0.751 0.998
Dy: 0.252 0.247 0.997
Dy: 0.748 0.753 0.003
Dy: 0.751 0.249 0.002
Dy: 0.751 0.249 0.498
Dy: 0.753 0.748 0.503
Er: 0.000 0.500 0.500
Er: 0.500 0.000 0.000
Er: 0.500 0.500 0.000
Er: 0.500 0.500 0.500
Tm: 0.000 0.000 0.000
Tm: 0.000 0.000 0.500


[11]
Entry from the Alexandria database: TlGaBi2Ru after structural relaxation (PBE).

Computed properties:
As for the space group: P4/mmm (123). For the total energy, the calculation gives -0.111 Ha/atom. Its crystal system is tetragonal.

abc: 5.808 5.808 5.092
angles: 90.00 90.00 90.00
Atoms (fractional coordinates):
Tl: 0.000 0.000 0.000
Ga: 0.000 0.000 0.500
Bi: 0.000 0.500 0.000
Bi: 0.500 0.000 0.000
Ru: 0.500 0.500 0.500


[12]
Entry from the Alexandria database: NaBeAu2 after structural relaxation (PBE).

Computed properties:
As for the space group: Cmmm (65). For the total energy, the calculation gives -0.109 Ha/atom. Its crystal system is orthorhombic.

abc: 5.376 8.858 3.115
angles: 90.00 90.00 90.00
Atoms (fractional coordinates):
Na: 0.000 0.000 0.000
Na: 0.500 0.500 0.000
Be: 0.000 0.500 0.000
Be: 0.500 0.000 0.000
Au: 0.000 0.316 0.500
Au: 0.000 0.684 0.500
Au: 0.500 0.184 0.500
Au: 0.500 0.816 0.500